# 1
This record from the Alexandria database describes La2AlCdGa after structural relaxation. The functional is GGA-PBE.

Cell lengths 5.7626, 5.7626, 4.8916 Å; angles 90.00, 90.00, 90.00 degrees
Space group P4/mmm (No. 123)
Symmetry-distinct sites (fractional):
La (0.0000, 0.5000, 0.0000) (multiplicity 2)
Al (0.0000, 0.0000, 0.5000) (multiplicity 1)
Cd (0.5000, 0.5000, 0.5000) (multiplicity 1)
Ga (0.5000, 0.5000, 0.0000) (multiplicity 1)

Computed properties:
Density of states at the Fermi level = 1.69 states/eV/atom
ΔE_f = 0.0804 eV/atom
V = 32.49 Å³ per atom
Calculated total energy = -3.4275 eV per atom

# 2
This record from the Alexandria database describes LaMg2Ru after structural relaxation. The functional is GGA-PBE.

Cell lengths 3.3557, 4.9072, 11.1319 Å; angles 90.00, 90.00, 90.00 degrees
Space group Immm (No. 71)
Symmetry-distinct sites (fractional):
La (0.0000, 0.0000, 0.0000) (multiplicity 2)
Mg (0.0000, 0.5000, 0.2018) (multiplicity 4)
Ru (0.0000, 0.0000, 0.5000) (multiplicity 2)

Computed properties:
Density of states at the Fermi level = 0.44 states/eV/atom
ΔE_f = -0.1007 eV/atom
V = 22.91 Å³ per atom
Calculated total energy = -4.4488 eV per atom

# 3
This record from the Alexandria database describes CrNi2S4 after structural relaxation. The functional is GGA-PBE.

Cell lengths 6.6897, 6.8610, 9.5694 Å; angles 90.00, 90.00, 90.00 degrees
Space group Imma (No. 74)
Symmetry-distinct sites (fractional):
Cr (0.2500, 0.2500, 0.2500) (multiplicity 4)
Ni (0.0000, 0.0000, 0.0000) (multiplicity 4)
Ni (0.0000, 0.2500, 0.6266) (multiplicity 4)
S (0.0000, 0.0105, 0.2416) (multiplicity 8)
S (0.2351, 0.2500, 0.0040) (multiplicity 8)

Computed properties:
Excess energy over the best structure of this formula in the dataset = 0.0 meV/atom
Density of states at the Fermi level = 0.46 states/eV/atom
V = 15.69 Å³ per atom
E_form (uncorrected) = -0.49 eV per atom
Calculated total energy = -5.8742 eV per atom

# 4
This record from the Alexandria database describes KAgCl2 after structural relaxation. The functional is GGA-PBE.

Cell lengths 7.4886, 7.4886, 8.4294 Å; angles 90.00, 90.00, 90.00 degrees
Space group I-42d (No. 122)
Symmetry-distinct sites (fractional):
K (0.0000, 0.0000, 0.0000) (multiplicity 4)
Ag (0.0000, 0.0000, 0.5000) (multiplicity 4)
Cl (0.1995, 0.7500, 0.6250) (multiplicity 8)

Computed properties:
Density of states at the Fermi level = 0.00 states/eV/atom
V = 29.54 Å³ per atom
E_form (uncorrected) = -1.17 eV per atom
Calculated total energy = -3.0811 eV per atom